Cr2IrAu | GGA-PBE | relaxed

Cell and atoms, written as CIF:
```
data_Cr2IrAu
_symmetry_space_group_name_H-M 'F m -3 m'
_symmetry_Int_Tables_number 225
_symmetry_space_group_name_Hall '-F 4 2 3'
_cell_length_a 6.2601
_cell_length_b 6.2601
_cell_length_c 6.2601
_cell_angle_alpha 90.00
_cell_angle_beta 90.00
_cell_angle_gamma 90.00
loop_
_atom_site_label
_atom_site_type_symbol
_atom_site_fract_x
_atom_site_fract_y
_atom_site_fract_z
Cr1 Cr 0.2500 0.2500 0.2500
Ir1 Ir 0.0000 0.0000 0.0000
Au1 Au 0.0000 0.0000 0.5000
```

Properties
Energy relative to the elements, kJ/mol of atoms: 25
Excess energy over the best structure of this formula in the dataset, eV/f.u.: 0.607
Uncorrected energy, eV/cell: -121.3

YSbIr2 | GGA-PBE | relaxed

Cell and atoms, written as CIF:
```
data_YSbIr2
_symmetry_space_group_name_H-M 'I 4/m m m'
_symmetry_Int_Tables_number 139
_symmetry_space_group_name_Hall '-I 4 2'
_cell_length_a 4.3651
_cell_length_b 4.3651
_cell_length_c 7.8567
_cell_angle_alpha 90.00
_cell_angle_beta 90.00
_cell_angle_gamma 90.00
loop_
_atom_site_label
_atom_site_type_symbol
_atom_site_fract_x
_atom_site_fract_y
_atom_site_fract_z
Y1 Y 0.0000 0.0000 0.0000
Sb1 Sb 0.0000 0.0000 0.5000
Ir1 Ir 0.0000 0.5000 0.2500
```

Properties
Formation energy (no corrections), eV/atom: -0.4247
Uncorrected energy, eV/cell: -60.0

LiCaAs3 | GGA-PBE | relaxed

Cell and atoms, written as CIF:
```
data_LiCaAs3
_symmetry_space_group_name_H-M 'P m -3 m'
_symmetry_Int_Tables_number 221
_symmetry_space_group_name_Hall '-P 4 2 3'
_cell_length_a 4.7178
_cell_length_b 4.7178
_cell_length_c 4.7178
_cell_angle_alpha 90.00
_cell_angle_beta 90.00
_cell_angle_gamma 90.00
loop_
_atom_site_label
_atom_site_type_symbol
_atom_site_fract_x
_atom_site_fract_y
_atom_site_fract_z
Li1 Li 0.0000 0.0000 0.0000
Ca1 Ca 0.5000 0.5000 0.5000
As1 As 0.0000 0.0000 0.5000
```

Properties
Energy relative to the elements, kJ/mol of atoms: -17
Excess energy over the best structure of this formula in the dataset, eV/f.u.: 0.000
Uncorrected energy, eV/cell: -18.7

In2Ir2RuS6 | GGA-PBE | relaxed

Cell and atoms, written as CIF:
```
data_In2Ir2RuS6
_symmetry_space_group_name_H-M 'C 1 2/m 1'
_symmetry_Int_Tables_number 12
_cell_length_a 6.2769
_cell_length_b 10.8977
_cell_length_c 6.9409
_cell_angle_alpha 90.00
_cell_angle_beta 108.13
_cell_angle_gamma 90.00
loop_
_symmetry_equiv_pos_as_xyz
'x,y,z'
'-x,-y,-z'
'-x,y,-z'
'x,-y,z'
'x+1/2,y+1/2,z'
'-x+1/2,-y+1/2,-z'
'-x+1/2,y+1/2,-z'
'x+1/2,-y+1/2,z'
loop_
_atom_site_label
_atom_site_type_symbol
_atom_site_fract_x
_atom_site_fract_y
_atom_site_fract_z
In1 In 0.0000 0.1664 0.0000
Ir1 Ir 0.0000 0.3316 0.5000
Ru1 Ru 0.0000 0.0000 0.5000
S1 S 0.2257 0.1680 0.6779
S2 S 0.2315 0.5000 0.6803
```

Properties
Formation energy (no corrections), eV/atom: -0.2920
Uncorrected energy, eV/cell: -120.9

Be3OsW | GGA-PBE | relaxed

Cell and atoms, written as CIF:
```
data_Be3OsW
_symmetry_space_group_name_H-M 'P m -3 m'
_symmetry_Int_Tables_number 221
_symmetry_space_group_name_Hall '-P 4 2 3'
_cell_length_a 4.0406
_cell_length_b 4.0406
_cell_length_c 4.0406
_cell_angle_alpha 90.00
_cell_angle_beta 90.00
_cell_angle_gamma 90.00
loop_
_atom_site_label
_atom_site_type_symbol
_atom_site_fract_x
_atom_site_fract_y
_atom_site_fract_z
Be1 Be 0.0000 0.0000 0.5000
Os1 Os 0.0000 0.0000 0.0000
W1 W 0.5000 0.5000 0.5000
```

Properties
Energy relative to the elements, kJ/mol of atoms: 102
Excess energy over the best structure of this formula in the dataset, eV/f.u.: 0.000
Uncorrected energy, eV/cell: -30.1

Ac7NdSm3 | GGA-PBE | relaxed

Cell and atoms, written as CIF:
```
data_Ac7NdSm3
_symmetry_space_group_name_H-M 'C 1 2/m 1'
_symmetry_Int_Tables_number 12
_cell_length_a 12.3578
_cell_length_b 11.1535
_cell_length_c 6.9016
_cell_angle_alpha 90.00
_cell_angle_beta 97.20
_cell_angle_gamma 90.00
loop_
_symmetry_equiv_pos_as_xyz
'x,y,z'
'-x,-y,-z'
'-x,y,-z'
'x,-y,z'
'x+1/2,y+1/2,z'
'-x+1/2,-y+1/2,-z'
'-x+1/2,y+1/2,-z'
'x+1/2,-y+1/2,z'
loop_
_atom_site_label
_atom_site_type_symbol
_atom_site_fract_x
_atom_site_fract_y
_atom_site_fract_z
Ac1 Ac 0.0000 0.0000 0.0000
Ac2 Ac 0.2349 0.5000 0.2280
Ac3 Ac 0.2456 0.3281 0.7403
Nd1 Nd 0.0000 0.0000 0.5000
Sm1 Sm 0.0000 0.3367 0.0000
Sm2 Sm 0.0000 0.5000 0.5000
```

Properties
Energy relative to the elements, kJ/mol of atoms: 25
Uncorrected energy, eV/cell: -89.7

CePO4 | GGA-PBE | relaxed

Cell and atoms, written as CIF:
```
data_CePO4
_symmetry_space_group_name_H-M 'P 1 21/c 1'
_symmetry_Int_Tables_number 14
_cell_length_a 6.5062
_cell_length_b 7.0867
_cell_length_c 8.2587
_cell_angle_alpha 90.00
_cell_angle_beta 125.92
_cell_angle_gamma 90.00
loop_
_symmetry_equiv_pos_as_xyz
'x,y,z'
'-x,-y,-z'
'-x,y+1/2,-z+1/2'
'x,-y+1/2,z+1/2'
loop_
_atom_site_label
_atom_site_type_symbol
_atom_site_fract_x
_atom_site_fract_y
_atom_site_fract_z
Ce1 Ce 0.1868 0.1579 0.2860
P1 P 0.3068 0.6616 0.1955
O1 O 0.1164 0.6697 0.6178
O2 O 0.1897 0.5050 0.2495
O3 O 0.3350 0.6027 0.0282
O4 O 0.4187 0.2119 0.1276
```

Properties
Excess energy over the best structure of this formula in the dataset, eV/f.u.: 0.011
Formation energy (no corrections), eV/atom: -2.9196
Uncorrected energy, eV/cell: -194.8

La3TmRu | GGA-PBE | relaxed

Cell and atoms, written as CIF:
```
data_La3TmRu
_symmetry_space_group_name_H-M 'P m -3 m'
_symmetry_Int_Tables_number 221
_symmetry_space_group_name_Hall '-P 4 2 3'
_cell_length_a 5.5708
_cell_length_b 5.5708
_cell_length_c 5.5708
_cell_angle_alpha 90.00
_cell_angle_beta 90.00
_cell_angle_gamma 90.00
loop_
_atom_site_label
_atom_site_type_symbol
_atom_site_fract_x
_atom_site_fract_y
_atom_site_fract_z
La1 La 0.0000 0.0000 0.5000
Tm1 Tm 0.5000 0.5000 0.5000
Ru1 Ru 0.0000 0.0000 0.0000
```

Properties
Energy relative to the elements, kJ/mol of atoms: -4
Uncorrected energy, eV/cell: -28.8

DyHo5Er7 | GGA-PBE | relaxed

Cell and atoms, written as CIF:
```
data_DyHo5Er7
_symmetry_space_group_name_H-M 'I m m 2'
_symmetry_Int_Tables_number 44
_cell_length_a 6.6136
_cell_length_b 11.0050
_cell_length_c 11.3967
_cell_angle_alpha 90.00
_cell_angle_beta 90.00
_cell_angle_gamma 90.00
loop_
_symmetry_equiv_pos_as_xyz
'x,y,z'
'-x,-y,z'
'-x,y,z'
'x,-y,z'
'x+1/2,y+1/2,z+1/2'
'-x+1/2,-y+1/2,z+1/2'
'-x+1/2,y+1/2,z+1/2'
'x+1/2,-y+1/2,z+1/2'
loop_
_atom_site_label
_atom_site_type_symbol
_atom_site_fract_x
_atom_site_fract_y
_atom_site_fract_z
Dy1 Dy 0.0000 0.0000 0.0000
Ho1 Ho 0.0000 0.5000 0.6945
Ho2 Ho 0.2322 0.2268 0.1950
Er1 Er 0.0000 0.0000 0.3870
Er2 Er 0.0000 0.0000 0.6934
Er3 Er 0.0000 0.3295 0.4446
Er4 Er 0.0000 0.3301 0.9450
Er5 Er 0.0000 0.5000 0.1949
```

Properties
Energy relative to the elements, kJ/mol of atoms: 25
Uncorrected energy, eV/cell: -112.0

Na2Li2Ge | GGA-PBE | relaxed

Cell and atoms, written as CIF:
```
data_Na2Li2Ge
_symmetry_space_group_name_H-M 'P 4/m b m'
_symmetry_Int_Tables_number 127
_symmetry_space_group_name_Hall '-P 4 2ab'
_cell_length_a 6.8228
_cell_length_b 6.8228
_cell_length_c 5.0535
_cell_angle_alpha 90.00
_cell_angle_beta 90.00
_cell_angle_gamma 90.00
loop_
_atom_site_label
_atom_site_type_symbol
_atom_site_fract_x
_atom_site_fract_y
_atom_site_fract_z
Na1 Na 0.1866 0.3134 0.0000
Li1 Li 0.1636 0.6636 0.5000
Ge1 Ge 0.0000 0.0000 0.5000
```

Properties
Energy relative to the elements, kJ/mol of atoms: -4
Excess energy over the best structure of this formula in the dataset, eV/f.u.: 0.000
Uncorrected energy, eV/cell: -22.6

Sm4CoPdBr2 | GGA-PBE | relaxed

Cell and atoms, written as CIF:
```
data_Sm4CoPdBr2
_symmetry_space_group_name_H-M 'P 1 2/m 1'
_symmetry_Int_Tables_number 10
_cell_length_a 7.1125
_cell_length_b 4.0473
_cell_length_c 8.0374
_cell_angle_alpha 90.00
_cell_angle_beta 107.07
_cell_angle_gamma 90.00
loop_
_symmetry_equiv_pos_as_xyz
'x,y,z'
'-x,-y,-z'
'-x,y,-z'
'x,-y,z'
loop_
_atom_site_label
_atom_site_type_symbol
_atom_site_fract_x
_atom_site_fract_y
_atom_site_fract_z
Sm1 Sm 0.2173 0.0000 0.1924
Sm2 Sm 0.2463 0.5000 0.8051
Co1 Co 0.0000 0.5000 0.0000
Pd1 Pd 0.5000 0.0000 0.0000
Br1 Br 0.0000 0.0000 0.5000
Br2 Br 0.5000 0.5000 0.5000
```

Properties
Formation energy (no corrections), eV/atom: -0.8790
Uncorrected energy, eV/cell: -41.6

TaCoTc | GGA-PBE | relaxed

Cell and atoms, written as CIF:
```
data_TaCoTc
_symmetry_space_group_name_H-M 'P 3 m 1'
_symmetry_Int_Tables_number 156
_cell_length_a 4.3439
_cell_length_b 4.3439
_cell_length_c 2.7149
_cell_angle_alpha 90.00
_cell_angle_beta 90.00
_cell_angle_gamma 120.00
loop_
_symmetry_equiv_pos_as_xyz
'x,y,z'
'-y,x-y,z'
'-x+y,-x,z'
'-y,-x,z'
'-x+y,y,z'
'x,x-y,z'
loop_
_atom_site_label
_atom_site_type_symbol
_atom_site_fract_x
_atom_site_fract_y
_atom_site_fract_z
Ta1 Ta 0.0000 0.0000 0.0000
Co1 Co 0.6667 0.3333 0.6783
Tc1 Tc 0.3333 0.6667 0.3290
```

Properties
Energy relative to the elements, kJ/mol of atoms: 3
Excess energy over the best structure of this formula in the dataset, eV/f.u.: 0.384
Uncorrected energy, eV/cell: -29.2